PrNb2Ir2 after structural relaxation. Source: Alexandria via LeMat-Bulk, functional GGA-PBE.

Lattice parameters (Å, degrees): 4.492 4.492 10.560 90.00 90.00 90.00
Positions (direct):
Pr 0.000 0.000 0.000
Pr 0.500 0.500 0.500
Nb 0.000 0.500 0.250
Nb 0.000 0.500 0.750
Nb 0.500 0.000 0.250
Nb 0.500 0.000 0.750
Ir 0.000 0.000 0.374
Ir 0.000 0.000 0.626
Ir 0.500 0.500 0.126
Ir 0.500 0.500 0.874

Output
ΔH_f (0 K)	-0.54	eV/atom

PaGeAuN after structural relaxation. Source: Alexandria via LeMat-Bulk, functional GGA-PBE.

Lattice parameters (Å, degrees): 3.901 3.901 9.773 90.00 90.00 90.00
Positions (direct):
Pa 0.250 0.250 0.121
Pa 0.750 0.750 0.879
Ge 0.250 0.750 0.500
Ge 0.750 0.250 0.500
Au 0.250 0.250 0.711
Au 0.750 0.750 0.289
N 0.250 0.750 0.000
N 0.750 0.250 0.000

Output
energy relative to the elements, uncorrected	-0.867	eV/atom

Dy3Mg2Pb3 after structural relaxation. Source: Alexandria via LeMat-Bulk, functional GGA-PBE.

Lattice parameters (Å, degrees): 8.929 8.929 6.361 90.00 90.00 120.00
Positions (direct):
Dy 0.000 0.246 0.250
Dy 0.000 0.754 0.750
Dy 0.246 0.000 0.250
Dy 0.246 0.246 0.750
Dy 0.754 0.000 0.750
Dy 0.754 0.754 0.250
Mg 0.333 0.667 0.000
Mg 0.333 0.667 0.500
Mg 0.667 0.333 0.000
Mg 0.667 0.333 0.500
Pb 0.000 0.396 0.750
Pb 0.000 0.604 0.250
Pb 0.396 0.000 0.750
Pb 0.396 0.396 0.250
Pb 0.604 0.000 0.250
Pb 0.604 0.604 0.750

Output
ΔH_f (0 K)	-0.34	eV/atom

ErPuSi after structural relaxation. Source: Alexandria via LeMat-Bulk, functional GGA-PBE.

Lattice parameters (Å, degrees): 3.261 4.677 9.264 90.00 90.00 90.00
Positions (direct):
Er 0.000 0.000 0.000
Er 0.000 0.500 0.500
Pu 0.500 0.000 0.326
Pu 0.500 0.000 0.674
Si 0.500 0.500 0.140
Si 0.500 0.500 0.860

Output
offset from the most stable computed form	197	meV/atom
energy relative to the elements, uncorrected	-0.018	eV/atom

TcPOs2 after structural relaxation. Source: Alexandria via LeMat-Bulk, functional GGA-PBE.

Lattice parameters (Å, degrees): 5.228 8.753 2.813 90.00 117.00 90.00
Positions (direct):
Tc 0.000 0.000 0.000
Tc 0.500 0.500 0.000
P 0.000 0.500 0.000
P 0.500 0.000 0.000
Os 0.250 0.250 0.500
Os 0.250 0.750 0.500
Os 0.750 0.250 0.500
Os 0.750 0.750 0.500

Output
ΔH_f (0 K)	0.54	eV/atom

Co3Ni7Pt2 after structural relaxation. Source: Alexandria via LeMat-Bulk, functional GGA-PBE.

Lattice parameters (Å, degrees): 2.619 4.031 14.593 90.00 95.14 90.00
Positions (direct):
Co 0.000 0.000 0.000
Co 0.332 0.500 0.664
Co 0.668 0.500 0.336
Ni 0.079 0.500 0.158
Ni 0.284 0.000 0.567
Ni 0.434 0.000 0.869
Ni 0.500 0.500 0.000
Ni 0.566 0.000 0.131
Ni 0.716 0.000 0.433
Ni 0.921 0.500 0.842
Pt 0.141 0.000 0.282
Pt 0.859 0.000 0.718

Output
ΔH_f (0 K)	0.34	eV/atom

KNaB2H6 after structural relaxation. Source: Alexandria via LeMat-Bulk, functional GGA-PBE.

Lattice parameters (Å, degrees): 7.754 7.754 7.754 33.58 33.58 33.58
Positions (direct):
K 0.000 0.000 0.000
Na 0.500 0.500 0.500
B 0.247 0.247 0.247
B 0.753 0.753 0.753
H 0.055 0.591 0.591
H 0.409 0.409 0.945
H 0.409 0.945 0.409
H 0.591 0.055 0.591
H 0.591 0.591 0.055
H 0.945 0.409 0.409

Output
energy	-36.58	eV per formula unit

Ca4In after structural relaxation. Source: Alexandria via LeMat-Bulk, functional GGA-PBE.

Lattice parameters (Å, degrees): 8.012 8.012 5.477 90.00 90.00 90.00
Positions (direct):
Ca 0.115 0.298 0.000
Ca 0.202 0.615 0.500
Ca 0.298 0.885 0.000
Ca 0.385 0.202 0.500
Ca 0.615 0.798 0.500
Ca 0.702 0.115 0.000
Ca 0.798 0.385 0.500
Ca 0.885 0.702 0.000
In 0.000 0.000 0.500
In 0.500 0.500 0.000

Output
ΔH_f (0 K)	-0.13	eV/atom
offset from the most stable computed form	0	meV/atom

Li2Pm4N after structural relaxation. Source: Alexandria via LeMat-Bulk, functional GGA-PBE.

Lattice parameters (Å, degrees): 5.030 5.030 14.882 90.00 90.00 90.00
Positions (direct):
Li 0.000 0.000 0.133
Li 0.000 0.000 0.867
Li 0.500 0.500 0.367
Li 0.500 0.500 0.633
Pm 0.000 0.000 0.337
Pm 0.000 0.000 0.663
Pm 0.000 0.500 0.000
Pm 0.000 0.500 0.500
Pm 0.500 0.000 0.000
Pm 0.500 0.000 0.500
Pm 0.500 0.500 0.163
Pm 0.500 0.500 0.837
N 0.000 0.000 0.500
N 0.500 0.500 0.000

Output
energy relative to the elements, uncorrected	-0.210	eV/atom

InSb2TeW after structural relaxation. Source: Alexandria via LeMat-Bulk, functional GGA-PBE.

Lattice parameters (Å, degrees): 5.435 5.435 5.540 90.00 90.00 90.00
Positions (direct):
In 0.000 0.000 0.000
Sb 0.000 0.500 0.500
Sb 0.500 0.000 0.500
Te 0.500 0.500 0.000
W 0.500 0.500 0.500

Output
offset from the most stable computed form	0	meV/atom
energy relative to the elements, uncorrected	0.561	eV/atom

AsBrN2 after structural relaxation. Source: Alexandria via LeMat-Bulk, functional GGA-PBE.

Lattice parameters (Å, degrees): 5.867 5.867 5.867 90.00 90.00 90.00
Positions (direct):
As 0.000 0.000 0.000
As 0.000 0.500 0.500
As 0.500 0.000 0.500
As 0.500 0.500 0.000
Br 0.000 0.000 0.500
Br 0.000 0.500 0.000
Br 0.500 0.000 0.000
Br 0.500 0.500 0.500
N 0.250 0.250 0.250
N 0.250 0.250 0.750
N 0.250 0.750 0.250
N 0.250 0.750 0.750
N 0.750 0.250 0.250
N 0.750 0.250 0.750
N 0.750 0.750 0.250
N 0.750 0.750 0.750

Output
offset from the most stable computed form	1069	meV/atom
energy relative to the elements, uncorrected	2.319	eV/atom

CeZnGa2Cu after structural relaxation. Source: Alexandria via LeMat-Bulk, functional GGA-PBE.

Lattice parameters (Å, degrees): 4.232 4.232 10.296 90.00 90.00 90.00
Positions (direct):
Ce 0.000 0.000 0.000
Ce 0.500 0.500 0.500
Zn 0.000 0.500 0.250
Zn 0.500 0.000 0.750
Ga 0.000 0.000 0.380
Ga 0.000 0.000 0.620
Ga 0.500 0.500 0.120
Ga 0.500 0.500 0.880
Cu 0.000 0.500 0.750
Cu 0.500 0.000 0.250

Output
ΔH_f (0 K)	-0.42	eV/atom

So what do the calculations give for N(E_F)? Going down the list: 2.3, 1.5, 6.4, 6.2, 4.5, 36.9, 2.1, 5.1, 7.9, 5.2, 2.7, 5.4 states/eV/f.u..
So what do the calculations give for volume? Going down the list: 21.31, 18.59, 27.45, 23.55, 14.34, 12.79, 12.70, 35.16, 26.90, 32.73, 12.62, 18.44 Å³ per atom.